Entry 1:
## Sc4TlFeC2 (PBE-GGA)

Data for an optimized crystal structure of Sc4TlFeC2.

```
data_Sc4TlFeC2
_cell_length_a 3.3161
_cell_length_b 3.3161
_cell_length_c 14.4575
_cell_angle_alpha 90.00
_cell_angle_beta 90.00
_cell_angle_gamma 120.00
_symmetry_space_group_name_H-M 'P -6 m 2'
_symmetry_Int_Tables_number 187
_symmetry_space_group_name_Hall 'P -6 2'
loop_
_atom_site_label
_atom_site_fract_x
_atom_site_fract_y
_atom_site_fract_z
_atom_site_occupancy
Sc1 0.0000 0.0000 0.1451 1
Sc2 0.6667 0.3333 0.3158 1
Tl1 0.0000 0.0000 0.5000 1
Fe1 0.6667 0.3333 0.0000 1
C1 0.3333 0.6667 0.2328 1
```

**Mass density**: 5.597 g/cm3
**Calculated total energy**: -7.08 eV per atom
**Total magnetic moment**: 1.9 μB per formula unit

=====

Entry 2:
## CsCdPb (PBE-GGA)

Data for an optimized crystal structure of CsCdPb.

```
data_CsCdPb
_cell_length_a 8.4525
_cell_length_b 8.4525
_cell_length_c 8.4525
_cell_angle_alpha 90.00
_cell_angle_beta 90.00
_cell_angle_gamma 90.00
_symmetry_space_group_name_H-M 'F -4 3 m'
_symmetry_Int_Tables_number 216
_symmetry_space_group_name_Hall 'F -4 2 3'
loop_
_atom_site_label
_atom_site_fract_x
_atom_site_fract_y
_atom_site_fract_z
_atom_site_occupancy
Cs1 0.0000 0.0000 0.0000 1
Cd1 0.2500 0.2500 0.7500 1
Pb1 0.2500 0.2500 0.2500 1
```

**Mass density**: 4.977 g/cm3
**Relative energy among the computed polymorphs**: 0.96 eV per formula unit

=====

Entry 3:
## TmCuTe3Pb (PBE-GGA)

Data for an optimized crystal structure of TmCuTe3Pb.

```
data_TmCuTe3Pb
_cell_length_a 8.9856
_cell_length_b 4.4590
_cell_length_c 17.1735
_cell_angle_alpha 90.00
_cell_angle_beta 90.00
_cell_angle_gamma 90.00
_symmetry_space_group_name_H-M 'P n m a'
_symmetry_Int_Tables_number 62
loop_
_symmetry_equiv_pos_as_xyz
'x,y,z'
'-x,-y,-z'
'-x+1/2,-y,z+1/2'
'x+1/2,y,-z+1/2'
'x+1/2,-y+1/2,-z+1/2'
'-x+1/2,y+1/2,z+1/2'
'-x,y+1/2,-z'
'x,-y+1/2,z'
loop_
_atom_site_label
_atom_site_fract_x
_atom_site_fract_y
_atom_site_fract_z
_atom_site_occupancy
Tm1 0.2403 0.2500 0.0370 1
Cu1 0.1271 0.7500 0.8673 1
Te1 0.0145 0.7500 0.0945 1
Te2 0.1196 0.2500 0.4425 1
Te3 0.1853 0.7500 0.7138 1
Pb1 0.0814 0.7500 0.2818 1
```

**Mass density**: 7.939 g/cm3
**Relative energy among the computed polymorphs**: 0.41 eV per formula unit
**Total magnetic moment**: 0.0 μB per formula unit

=====

Entry 4:
## CoAgAsW (PBE-GGA)

Data for an optimized crystal structure of CoAgAsW.

```
data_CoAgAsW
_cell_length_a 6.1644
_cell_length_b 6.1644
_cell_length_c 6.1644
_cell_angle_alpha 90.00
_cell_angle_beta 90.00
_cell_angle_gamma 90.00
_symmetry_space_group_name_H-M 'F -4 3 m'
_symmetry_Int_Tables_number 216
_symmetry_space_group_name_Hall 'F -4 2 3'
loop_
_atom_site_label
_atom_site_fract_x
_atom_site_fract_y
_atom_site_fract_z
_atom_site_occupancy
Co1 0.0000 0.0000 0.0000 1
Ag1 0.2500 0.2500 0.2500 1
As1 0.2500 0.2500 0.7500 1
W1 0.0000 0.0000 0.5000 1
```

**Mass density**: 12.067 g/cm3
**Relative energy among the computed polymorphs**: 0.00 eV per formula unit
**Total magnetic moment**: 0.3 μB per formula unit

=====

Entry 5:
## ScCuHgAs (PBE-GGA)

Data for an optimized crystal structure of ScCuHgAs.

```
data_ScCuHgAs
_cell_length_a 6.7344
_cell_length_b 6.7344
_cell_length_c 6.7344
_cell_angle_alpha 90.00
_cell_angle_beta 90.00
_cell_angle_gamma 90.00
_symmetry_space_group_name_H-M 'F -4 3 m'
_symmetry_Int_Tables_number 216
_symmetry_space_group_name_Hall 'F -4 2 3'
loop_
_atom_site_label
_atom_site_fract_x
_atom_site_fract_y
_atom_site_fract_z
_atom_site_occupancy
Sc1 0.0000 0.0000 0.0000 1
Cu1 0.2500 0.2500 0.7500 1
Hg1 0.2500 0.2500 0.2500 1
As1 0.0000 0.0000 0.5000 1
```

**Mass density**: 8.352 g/cm3
**Relative energy among the computed polymorphs**: 0.66 eV per formula unit
**Total magnetic moment**: 0.0 μB per formula unit

=====

Entry 6:
## K2Mo15Se19 (PBE-GGA)

Data for an optimized crystal structure of K2Mo15Se19.

```
data_K2Mo15Se19
_cell_length_a 9.8767
_cell_length_b 9.8767
_cell_length_c 58.7629
_cell_angle_alpha 90.00
_cell_angle_beta 90.00
_cell_angle_gamma 120.00
_symmetry_space_group_name_H-M 'R -3 c'
_symmetry_Int_Tables_number 167
_symmetry_space_group_name_Hall '-R 3 2"c'
loop_
_atom_site_label
_atom_site_fract_x
_atom_site_fract_y
_atom_site_fract_z
_atom_site_occupancy
K1 0.0000 0.0000 0.1143 1
Mo1 0.0000 0.1577 0.2500 1
Mo2 0.0105 0.1607 0.7109 1
Mo3 0.0202 0.1661 0.9806 1
Se1 0.0000 0.0000 0.0540 1
Se2 0.0000 0.0000 0.1763 1
Se3 0.0000 0.3045 0.7500 1
Se4 0.0110 0.3809 0.6833 1
Se5 0.0174 0.3736 0.9524 1
```

**Mass density**: 6.056 g/cm3
**Calculated total energy**: -7.03 eV per atom
**Total magnetic moment**: 0.5 μB per formula unit